Computed, not measured: a geometry-optimized Co5SbO8 structure at the GGA+U level of DFT.

POSCAR file:
```
Co5SbO8
1.0
3.0039 1.7343 5.0842
-3.0039 1.7343 5.0842
0.0000 -3.4687 5.0842
Co Sb O
5 1 8
direct
0.0000 0.5000 0.5000
0.1349 0.1349 0.1349
0.5000 0.0000 0.5000
0.5000 0.5000 0.0000
0.8651 0.8651 0.8651
0.5000 0.5000 0.5000
0.2655 0.2655 0.7270
0.2655 0.7270 0.2655
0.2658 0.2658 0.2658
0.2730 0.7345 0.7345
0.7270 0.2655 0.2655
0.7342 0.7342 0.7342
0.7345 0.2730 0.7345
0.7345 0.7345 0.2730
```

Output
**Space-group type**: R-3m
**Final energy**: -6.11 eV/atom
**Polymorph energy (0 for the lowest one)**: 3 meV per atom
**Theoretical density**: 5.69 g cm⁻³